Entry 1:
DFT (PBE) results for an optimized crystal structure of Ce3AlRh3.

* Fermi-level density of states: 23.68 states/eV per cell
* energy relative to the elements: -0.5707 eV/atom
* V: 344.2 Å³ per cell
* final energy: -6.7990 eV/atom

```
data_Ce3AlRh3
_cell_length_a 8.5284
_cell_length_b 8.5284
_cell_length_c 5.4649
_cell_angle_alpha 90.00
_cell_angle_beta 90.00
_cell_angle_gamma 120.00
_space_group_name_H-M_alt 'P 63/m'
_space_group_IT_number 176
_space_group_name_Hall '-P 6c'
loop_
_atom_site_label
_atom_site_fract_x
_atom_site_fract_y
_atom_site_fract_z
Ce1 0.0549 0.6954 0.2500
Al1 0.3333 0.6667 0.7500
Rh1 0.0547 0.6866 0.7500
```

Entry 2:
DFT (PBE) results for an optimized crystal structure of Sr2BiRhPb.

* Fermi-level density of states: 0.83 states/eV per cell
* energy relative to the elements: -0.4613 eV/atom
* V: 169.0 Å³ per cell
* final energy: -4.1222 eV/atom

```
data_Sr2BiRhPb
_cell_length_a 5.701
_cell_length_b 5.701
_cell_length_c 5.201
_cell_angle_alpha 90.00
_cell_angle_beta 90.00
_cell_angle_gamma 90.00
_space_group_name_H-M_alt 'P 4/m m m'
_space_group_IT_number 123
_space_group_name_Hall '-P 4 2'
loop_
_atom_site_label
_atom_site_fract_x
_atom_site_fract_y
_atom_site_fract_z
Sr1 0.000 0.500 0.000
Bi1 0.000 0.000 0.500
Rh1 0.500 0.500 0.000
Pb1 0.500 0.500 0.500
```

Entry 3:
DFT (PBE) results for an optimized crystal structure of Ni2TeW.

* raw formation energy: 499 meV/atom
* Fermi-level density of states: 5.69 states/eV per cell
* V: 253.4 Å³ per cell
* final energy: -6.4158 eV/atom

```
data_Ni2TeW
_cell_length_a 6.890
_cell_length_b 6.890
_cell_length_c 5.339
_cell_angle_alpha 90.00
_cell_angle_beta 90.00
_cell_angle_gamma 90.00
_space_group_name_H-M_alt 'I -4 2 d'
_space_group_IT_number 122
_space_group_name_Hall 'I -4 2bw'
loop_
_atom_site_label
_atom_site_fract_x
_atom_site_fract_y
_atom_site_fract_z
Ni1 0.249 0.250 0.125
Te1 0.000 0.000 0.000
W1 0.000 0.000 0.500
```

Entry 4:
DFT (PBE) results for an optimized crystal structure of PmNd3Er6Tm2.

* Fermi-level density of states: 30.90 states/eV per cell
* energy relative to the elements: 0.0210 eV/atom
* V: 762.4 Å³ per cell
* final energy: -4.5936 eV/atom

```
data_PmNd3Er6Tm2
_cell_length_a 6.170
_cell_length_b 10.683
_cell_length_c 11.747
_cell_angle_alpha 90.00
_cell_angle_beta 100.06
_cell_angle_gamma 90.00
_space_group_name_H-M_alt 'C 1 2/m 1'
_space_group_IT_number 12
_space_group_name_Hall '-C 2y'
loop_
_atom_site_label
_atom_site_fract_x
_atom_site_fract_y
_atom_site_fract_z
Pm1 0.000 0.000 0.000
Nd1 0.000 0.167 0.500
Nd2 0.000 0.500 0.500
Er1 0.249 0.167 0.247
Er2 0.249 0.500 0.247
Tm1 0.000 0.333 0.000
```

Entry 5:
DFT (PBE) results for an optimized crystal structure of Na4HoEr3Se8.

* raw formation energy: -1705 meV/atom
* Fermi-level density of states: 0.00 states/eV per cell
* V: 1233.8 Å³ per cell
* final energy: -4.9187 eV/atom

```
data_Na4HoEr3Se8
_cell_length_a 8.2338
_cell_length_b 8.2338
_cell_length_c 21.0136
_cell_angle_alpha 90.00
_cell_angle_beta 90.00
_cell_angle_gamma 120.00
_space_group_name_H-M_alt 'R -3 m'
_space_group_IT_number 166
_space_group_name_Hall '-R 3 2"'
loop_
_atom_site_label
_atom_site_fract_x
_atom_site_fract_y
_atom_site_fract_z
Na1 0.0000 0.0000 0.0000
Na2 0.0000 0.5000 0.0000
Ho1 0.0000 0.0000 0.5000
Er1 0.0000 0.5000 0.5000
Se1 0.0000 0.0000 0.2425
Se2 0.0007 0.5004 0.7573
```

Entry 6:
DFT (PBE) results for an optimized crystal structure of BaCo2.

* Fermi-level density of states: 13.22 states/eV per cell
* energy relative to the elements: 0.4183 eV/atom
* V: 241.9 Å³ per cell
* final energy: -4.9598 eV/atom

```
data_BaCo2
_cell_length_a 11.170
_cell_length_b 4.983
_cell_length_c 4.345
_cell_angle_alpha 90.00
_cell_angle_beta 90.00
_cell_angle_gamma 90.00
_space_group_name_H-M_alt 'C m c m'
_space_group_IT_number 63
_space_group_name_Hall '-C 2c 2'
loop_
_atom_site_label
_atom_site_fract_x
_atom_site_fract_y
_atom_site_fract_z
Ba1 0.000 0.244 0.250
Co1 0.235 0.368 0.750
```

Entry 7:
DFT (PBE) results for an optimized crystal structure of Re2AsRuRh.

* Fermi-level density of states: 7.59 states/eV per cell
* energy relative to the elements: 2.1372 eV/atom
* V: 98.5 Å³ per cell
* final energy: -7.0974 eV/atom

```
data_Re2AsRuRh
_cell_length_a 4.682
_cell_length_b 4.682
_cell_length_c 4.493
_cell_angle_alpha 90.00
_cell_angle_beta 90.00
_cell_angle_gamma 90.00
_space_group_name_H-M_alt 'P 4/m m m'
_space_group_IT_number 123
_space_group_name_Hall '-P 4 2'
loop_
_atom_site_label
_atom_site_fract_x
_atom_site_fract_y
_atom_site_fract_z
Re1 0.000 0.500 0.000
As1 0.000 0.000 0.500
Ru1 0.500 0.500 0.500
Rh1 0.000 0.000 0.000
```

Entry 8:
DFT (PBE) results for an optimized crystal structure of NaV2CuRu.

* Fermi-level density of states: 9.35 states/eV per cell
* energy relative to the elements: 1.4149 eV/atom
* V: 92.5 Å³ per cell
* final energy: -5.1707 eV/atom

```
data_NaV2CuRu
_cell_length_a 4.463
_cell_length_b 4.463
_cell_length_c 4.643
_cell_angle_alpha 90.00
_cell_angle_beta 90.00
_cell_angle_gamma 90.00
_space_group_name_H-M_alt 'P 4/m m m'
_space_group_IT_number 123
_space_group_name_Hall '-P 4 2'
loop_
_atom_site_label
_atom_site_fract_x
_atom_site_fract_y
_atom_site_fract_z
Na1 0.000 0.000 0.000
V1 0.000 0.500 0.500
Cu1 0.500 0.500 0.500
Ru1 0.500 0.500 0.000
```

Entry 9:
DFT (PBE) results for an optimized crystal structure of PmSmGdHg.

* Fermi-level density of states: 25.03 states/eV per cell
* energy relative to the elements: -0.0575 eV/atom
* V: 468.4 Å³ per cell
* final energy: -6.0207 eV/atom

```
data_PmSmGdHg
_cell_length_a 7.766
_cell_length_b 7.766
_cell_length_c 7.766
_cell_angle_alpha 90.00
_cell_angle_beta 90.00
_cell_angle_gamma 90.00
_space_group_name_H-M_alt 'F -4 3 m'
_space_group_IT_number 216
_space_group_name_Hall 'F -4 2 3'
loop_
_atom_site_label
_atom_site_fract_x
_atom_site_fract_y
_atom_site_fract_z
Pm1 0.000 0.000 0.000
Sm1 0.250 0.250 0.250
Gd1 0.250 0.250 0.750
Hg1 0.000 0.000 0.500
```

Entry 10:
DFT (PBE) results for an optimized crystal structure of CaTaAs2.

* relative energy among the computed polymorphs: 1.83 eV per formula unit
* Fermi-level density of states: 4.07 states/eV per cell
* energy relative to the elements: -0.2756 eV/atom
* V: 160.3 Å³ per cell
* final energy: -6.0639 eV/atom

```
data_CaTaAs2
_cell_length_a 6.998
_cell_length_b 7.438
_cell_length_c 3.227
_cell_angle_alpha 90.00
_cell_angle_beta 107.43
_cell_angle_gamma 90.00
_space_group_name_H-M_alt 'C 1 2/m 1'
_space_group_IT_number 12
_space_group_name_Hall '-C 2y'
loop_
_atom_site_label
_atom_site_fract_x
_atom_site_fract_y
_atom_site_fract_z
Ca1 0.000 0.000 0.000
Ta1 0.000 0.500 0.000
As1 0.250 0.250 0.500
```

Entry 11:
DFT (PBE) results for an optimized crystal structure of BaAc2Pt.

* relative energy among the computed polymorphs: 0.51 eV per formula unit
* Fermi-level density of states: 5.11 states/eV per cell
* energy relative to the elements: -0.4730 eV/atom
* V: 160.1 Å³ per cell
* final energy: -4.5181 eV/atom

```
data_BaAc2Pt
_cell_length_a 3.893
_cell_length_b 3.893
_cell_length_c 10.560
_cell_angle_alpha 90.00
_cell_angle_beta 90.00
_cell_angle_gamma 90.00
_space_group_name_H-M_alt 'P 4/m m m'
_space_group_IT_number 123
_space_group_name_Hall '-P 4 2'
loop_
_atom_site_label
_atom_site_fract_x
_atom_site_fract_y
_atom_site_fract_z
Ba1 0.000 0.000 0.000
Ac1 0.500 0.500 0.336
Pt1 0.000 0.000 0.500
```

Entry 12:
DFT (PBE) results for an optimized crystal structure of RbTc2Ru.

* relative energy among the computed polymorphs: 0.12 eV per formula unit
* Fermi-level density of states: 11.29 states/eV per cell
* energy relative to the elements: 1.7032 eV/atom
* V: 271.6 Å³ per cell
* final energy: -6.0406 eV/atom

```
data_RbTc2Ru
_cell_length_a 6.476
_cell_length_b 6.476
_cell_length_c 6.476
_cell_angle_alpha 90.00
_cell_angle_beta 90.00
_cell_angle_gamma 90.00
_space_group_name_H-M_alt 'F m -3 m'
_space_group_IT_number 225
_space_group_name_Hall '-F 4 2 3'
loop_
_atom_site_label
_atom_site_fract_x
_atom_site_fract_y
_atom_site_fract_z
Rb1 0.000 0.000 0.000
Tc1 0.250 0.250 0.250
Ru1 0.000 0.000 0.500
```

Entry 13:
DFT (PBE) results for an optimized crystal structure of CsCd2IrPb.

* Fermi-level density of states: 1.50 states/eV per cell
* energy relative to the elements: -0.0353 eV/atom
* V: 155.8 Å³ per cell
* final energy: -3.0859 eV/atom

```
data_CsCd2IrPb
_cell_length_a 5.464
_cell_length_b 5.464
_cell_length_c 5.219
_cell_angle_alpha 90.00
_cell_angle_beta 90.00
_cell_angle_gamma 90.00
_space_group_name_H-M_alt 'P 4/m m m'
_space_group_IT_number 123
_space_group_name_Hall '-P 4 2'
loop_
_atom_site_label
_atom_site_fract_x
_atom_site_fract_y
_atom_site_fract_z
Cs1 0.000 0.000 0.000
Cd1 0.000 0.500 0.500
Ir1 0.500 0.500 0.500
Pb1 0.500 0.500 0.000
```

Entry 14:
DFT (PBE) results for an optimized crystal structure of BaLi3Ca.

* relative energy among the computed polymorphs: 2.78 eV per formula unit
* Fermi-level density of states: 2.90 states/eV per cell
* energy relative to the elements: 0.6603 eV/atom
* V: 190.8 Å³ per cell
* final energy: -1.2728 eV/atom

```
data_BaLi3Ca
_cell_length_a 5.757
_cell_length_b 5.757
_cell_length_c 5.757
_cell_angle_alpha 90.00
_cell_angle_beta 90.00
_cell_angle_gamma 90.00
_space_group_name_H-M_alt 'P m -3 m'
_space_group_IT_number 221
_space_group_name_Hall '-P 4 2 3'
loop_
_atom_site_label
_atom_site_fract_x
_atom_site_fract_y
_atom_site_fract_z
Ba1 0.000 0.000 0.000
Li1 0.000 0.000 0.500
Ca1 0.500 0.500 0.500
```

Entry 15:
DFT (PBE) results for an optimized crystal structure of Pm5Al2I2.

* raw formation energy: -572 meV/atom
* Fermi-level density of states: 47.26 states/eV per cell
* V: 1065.6 Å³ per cell
* final energy: -4.3875 eV/atom

```
data_Pm5Al2I2
_cell_length_a 15.908
_cell_length_b 8.207
_cell_length_c 8.162
_cell_angle_alpha 90.00
_cell_angle_beta 90.00
_cell_angle_gamma 90.00
_space_group_name_H-M_alt 'C m c e'
_space_group_IT_number 64
_space_group_name_Hall '-C 2ac 2'
loop_
_atom_site_label
_atom_site_fract_x
_atom_site_fract_y
_atom_site_fract_z
Pm1 0.000 0.000 0.000
Pm2 0.129 0.171 0.331
Al1 0.000 0.121 0.619
I1 0.204 0.000 0.000
```

Entry 16:
DFT (PBE) results for an optimized crystal structure of Y2CuPd6.

* Fermi-level density of states: 8.92 states/eV per cell
* energy relative to the elements: -0.3731 eV/atom
* V: 351.2 Å³ per cell
* final energy: -5.7266 eV/atom

```
data_Y2CuPd6
_cell_length_a 13.443
_cell_length_b 7.781
_cell_length_c 3.475
_cell_angle_alpha 90.00
_cell_angle_beta 104.89
_cell_angle_gamma 90.00
_space_group_name_H-M_alt 'C 1 2/m 1'
_space_group_IT_number 12
_space_group_name_Hall '-C 2y'
loop_
_atom_site_label
_atom_site_fract_x
_atom_site_fract_y
_atom_site_fract_z
Y1 0.150 0.000 0.147
Cu1 0.000 0.500 0.500
Pd1 0.000 0.263 0.000
Pd2 0.166 0.294 0.664
```

Entry 17:
DFT (PBE) results for an optimized crystal structure of K2Np2US6.

* raw formation energy: -1425 meV/atom
* Fermi-level density of states: 44.76 states/eV per cell
* V: 634.6 Å³ per cell
* final energy: -7.2553 eV/atom

```
data_K2Np2US6
_cell_length_a 6.991
_cell_length_b 12.088
_cell_length_c 7.863
_cell_angle_alpha 90.00
_cell_angle_beta 107.25
_cell_angle_gamma 90.00
_space_group_name_H-M_alt 'C 1 2/m 1'
_space_group_IT_number 12
_space_group_name_Hall '-C 2y'
loop_
_atom_site_label
_atom_site_fract_x
_atom_site_fract_y
_atom_site_fract_z
K1 0.000 0.168 0.000
Np1 0.000 0.334 0.500
U1 0.000 0.000 0.500
S1 0.228 0.166 0.694
S2 0.238 0.500 0.695
```

Entry 18:
DFT (PBE) results for an optimized crystal structure of Sr2MgGePd6.

* Fermi-level density of states: 3.39 states/eV per cell
* energy relative to the elements: -0.5405 eV/atom
* V: 218.3 Å³ per cell
* final energy: -4.6138 eV/atom

```
data_Sr2MgGePd6
_cell_length_a 5.689
_cell_length_b 6.673
_cell_length_c 6.967
_cell_angle_alpha 83.16
_cell_angle_beta 65.99
_cell_angle_gamma 64.86
_space_group_name_H-M_alt 'P -1'
_space_group_IT_number 2
_space_group_name_Hall '-P 1'
loop_
_atom_site_label
_atom_site_fract_x
_atom_site_fract_y
_atom_site_fract_z
Sr1 0.035 0.220 0.211
Mg1 0.500 0.500 0.000
Ge1 0.500 0.000 0.500
Pd1 0.009 0.243 0.726
Pd2 0.352 0.402 0.402
Pd3 0.482 0.759 0.269
```

Entry 19:
DFT (PBE) results for an optimized crystal structure of Np2Cl2F3.

* raw formation energy: -2540 meV/atom
* Fermi-level density of states: 28.21 states/eV per cell
* V: 263.4 Å³ per cell
* final energy: -7.5671 eV/atom

```
data_Np2Cl2F3
_cell_length_a 10.376
_cell_length_b 3.932
_cell_length_c 7.133
_cell_angle_alpha 90.00
_cell_angle_beta 115.17
_cell_angle_gamma 90.00
_space_group_name_H-M_alt 'C 1 2/m 1'
_space_group_IT_number 12
_space_group_name_Hall '-C 2y'
loop_
_atom_site_label
_atom_site_fract_x
_atom_site_fract_y
_atom_site_fract_z
Np1 0.152 0.000 0.221
Cl1 0.138 0.000 0.794
F1 0.000 0.500 0.000
F2 0.156 0.500 0.425
```

Entry 20:
DFT (PBE) results for an optimized crystal structure of LiNpI2.

* raw formation energy: -329 meV/atom
* Fermi-level density of states: 30.98 states/eV per cell
* V: 404.7 Å³ per cell
* final energy: -4.8177 eV/atom

```
data_LiNpI2
_cell_length_a 4.0150
_cell_length_b 4.0150
_cell_length_c 28.9872
_cell_angle_alpha 90.00
_cell_angle_beta 90.00
_cell_angle_gamma 120.00
_space_group_name_H-M_alt 'R -3 m'
_space_group_IT_number 166
_space_group_name_Hall '-R 3 2"'
loop_
_atom_site_label
_atom_site_fract_x
_atom_site_fract_y
_atom_site_fract_z
Li1 0.0000 0.0000 0.0000
Np1 0.0000 0.0000 0.5000
I1 0.0000 0.0000 0.3934
```